Record 1
VASP calculation (PBE-GGA) on a relaxed structure of Nd4DyY2Ho2.

Summary:
Symmetry: C2/m (12)
E_form, meV per atom: 19

a = 5.100 Å, b = 8.070 Å, c = 8.060 Å
α = 107.45°, β = 90.00°, γ = 108.42°
Atoms (fractional coordinates):
Y (0.112, 0.223, 0.670)
Y (0.888, 0.777, 0.330)
Ho (0.667, 0.334, 0.000)
Ho (0.333, 0.666, 0.000)
Nd (0.554, 0.109, 0.330)
Nd (0.222, 0.444, 0.331)
Nd (0.446, 0.891, 0.670)
Nd (0.778, 0.556, 0.669)
Dy (0.000, 0.000, 0.000)

Record 2
VASP calculation (PBE-GGA) on a relaxed structure of Sr2ScSb4Au3.

Summary:
Symmetry: P-4m2 (115)
Formation energy from raw total energies, eV per atom: -0.6334

a = 4.757 Å, b = 4.757 Å, c = 11.981 Å
α = 90.00°, β = 90.00°, γ = 90.00°
Atoms (fractional coordinates):
Sb (0.000, 0.500, 0.363)
Sb (0.500, 0.500, 0.000)
Sb (0.500, 0.000, 0.637)
Sb (0.000, 0.000, 0.000)
Au (0.000, 0.000, 0.500)
Au (0.000, 0.500, 0.137)
Au (0.500, 0.000, 0.863)
Sc (0.500, 0.500, 0.500)
Sr (0.000, 0.500, 0.766)
Sr (0.500, 0.000, 0.234)

Record 3
VASP calculation (PBE-GGA) on a relaxed structure of PuGaCo2.

Summary:
Symmetry: P4/mmm (123)
E_form, meV per atom: -52

a = 2.997 Å, b = 2.997 Å, c = 6.554 Å
α = 90.00°, β = 90.00°, γ = 90.00°
Atoms (fractional coordinates):
Ga (0.500, 0.500, 0.500)
Co (0.000, 0.000, 0.297)
Co (0.000, 0.000, 0.703)
Pu (0.500, 0.500, 0.000)

Record 4
VASP calculation (PBE-GGA) on a relaxed structure of Pm4Y8Pu.

Summary:
Symmetry: R-3m (166)
E_form, meV per atom: 537

a = 7.813 Å, b = 7.813 Å, c = 7.813 Å
α = 90.18°, β = 90.18°, γ = 90.18°
Atoms (fractional coordinates):
Y (0.245, 0.757, 0.757)
Y (0.244, 0.244, 0.244)
Y (0.757, 0.245, 0.757)
Y (0.756, 0.756, 0.756)
Y (0.243, 0.243, 0.755)
Y (0.755, 0.243, 0.243)
Y (0.757, 0.757, 0.245)
Y (0.243, 0.755, 0.243)
Pm (0.000, 0.500, 0.500)
Pm (0.000, 0.000, 0.000)
Pm (0.500, 0.500, 0.000)
Pm (0.500, 0.000, 0.500)
Pu (0.500, 0.500, 0.500)

Record 5
VASP calculation (PBE-GGA) on a relaxed structure of ZnTe3W.

Summary:
Symmetry: Pm-3m (221)
Formation energy from raw total energies, eV per atom: 0.6007

a = 5.347 Å, b = 5.347 Å, c = 5.347 Å
α = 90.00°, β = 90.00°, γ = 90.00°
Atoms (fractional coordinates):
Te (0.000, 0.500, 0.000)
Te (0.500, 0.000, 0.000)
Te (0.000, 0.000, 0.500)
Zn (0.500, 0.500, 0.500)
W (0.000, 0.000, 0.000)

Record 6
VASP calculation (PBE-GGA) on a relaxed structure of Nd2Ho3Ga4.

Summary:
Symmetry: Cmce (64)
E_form, meV per atom: -427

a = 6.878 Å, b = 8.537 Å, c = 8.691 Å
α = 90.00°, β = 113.31°, γ = 90.00°
Atoms (fractional coordinates):
Ho (0.967, 0.250, 0.433)
Ho (0.533, 0.750, 0.567)
Ho (0.033, 0.750, 0.567)
Ho (0.467, 0.250, 0.433)
Ho (0.500, 0.500, 0.000)
Ho (0.000, 0.000, 0.000)
Ga (0.684, 0.542, 0.368)
Ga (0.184, 0.958, 0.368)
Ga (0.816, 0.042, 0.632)
Ga (0.215, 0.750, 0.930)
Ga (0.316, 0.458, 0.632)
Ga (0.715, 0.750, 0.930)
Ga (0.285, 0.250, 0.070)
Ga (0.785, 0.250, 0.070)
Nd (0.394, 0.080, 0.787)
Nd (0.606, 0.920, 0.213)
Nd (0.894, 0.420, 0.787)
Nd (0.106, 0.580, 0.213)

Record 7
VASP calculation (PBE-GGA) on a relaxed structure of TbInPt.

Summary:
Symmetry: I4mm (107)
E_form, meV per atom: -745

a = 3.437 Å, b = 3.437 Å, c = 6.158 Å
α = 106.20°, β = 106.20°, γ = 90.00°
Atoms (fractional coordinates):
Tb (0.598, 0.598, 0.197)
Pt (0.948, 0.948, 0.895)
In (0.304, 0.304, 0.608)

Record 8
VASP calculation (PBE-GGA) on a relaxed structure of BeBI2.

Summary:
Symmetry: I-42d (122)
Formation energy from raw total energies, eV per atom: 1.0550

a = 6.878 Å, b = 6.878 Å, c = 6.755 Å
α = 59.40°, β = 59.40°, γ = 90.00°
Atoms (fractional coordinates):
I (0.875, 0.814, 0.750)
I (0.375, 0.436, 0.750)
I (0.186, 0.625, 0.250)
I (0.564, 0.125, 0.250)
B (0.000, 0.000, 0.000)
B (0.750, 0.250, 0.500)
Be (0.250, 0.750, 0.500)
Be (0.500, 0.500, 0.000)

DFT total energy for every record listed, in sequence, given in eV for the cell shown: -45.58 -42.35 -31.78 -78.07 -20.65 -78.43 -15.64 -18.57.